A plane-wave DFT calculation with GGA-PBE was carried out for a relaxed TmH4Pd4 crystal.

Calculated values
- Total magnetization: 0.0 Bohr magnetons per cell
- Volume: 10.56 Å³ per atom
- Crystal system: monoclinic
- Space-group type: C2/m
- Calculated total energy: -0.349 Ry per atom

Cell and atoms, written as extended XYZ:
```
9
Lattice="3.733 0.000 1.496 1.825 4.859 0.850 0.058 -0.116 5.258" Properties=species:S:1:pos:R:3 pbc="T T T"
H 4.092 2.270 6.003
H 2.771 3.938 3.896
H 2.845 0.805 3.709
H 1.524 2.474 1.602
Pd 4.491 3.857 5.009
Pd 1.125 0.887 2.596
Pd 2.255 1.877 5.181
Pd 3.361 2.867 2.423
Tm 0.000 0.000 0.000
```